Record 1
A geometry-optimized AcCeNi2Ge2 structure. Source: Alexandria, functional PBE.

Unit cell a=4.2238 b=4.2238 c=8.2494 alpha=90.00 beta=90.00 gamma=120.00
With the nearest neighbours (Å) after each atom.
Positions (direct):
1 Ac 0.0000 0.0000 0.0000  6 Ge 3.31, 6 Ni 3.33
2 Ce 0.0000 0.0000 0.5000  6 Ni 3.06, 6 Ge 3.08
3 Ni 0.3333 0.6667 0.7243  3 Ge 2.44
4 Ni 0.6667 0.3333 0.2757  3 Ge 2.44
5 Ge 0.3333 0.6667 0.2721  3 Ni 2.44
6 Ge 0.6667 0.3333 0.7279  3 Ni 2.44

Summary:
SG = No. 164
ΔE_f = -0.691 eV per atom

---

Record 2
A geometry-optimized DyY2AlO structure. Source: Alexandria, functional PBE.

Unit cell a=4.7450 b=4.7450 c=4.7185 alpha=90.00 beta=90.00 gamma=90.00
With the nearest neighbours (Å) after each atom.
Positions (direct):
1 Dy 0.0000 0.0000 0.0000  2 O 2.36
2 Y 0.0000 0.5000 0.5000  2 O 2.37
3 Y 0.5000 0.0000 0.5000  2 O 2.37
4 Al 0.5000 0.5000 0.0000  8 Y 3.35, 4 Dy 3.36
5 O 0.0000 0.0000 0.5000  2 Dy 2.36, 4 Y 2.37

Summary:
SG = No. 123

---

Record 3
A geometry-optimized ZnHg2Mo structure. Source: Alexandria, functional PBE.

Unit cell a=3.0326 b=4.6960 c=5.2270 alpha=90.00 beta=90.00 gamma=90.00
With the nearest neighbours (Å) after each atom.
Positions (direct):
1 Zn 0.0000 0.0000 0.0000  2 Mo 2.80, 6 Hg 2.80-2.97, 2 Zn 3.03
2 Hg 0.5000 0.0000 0.4504  2 Zn 2.80, 4 Mo 2.92, 4 Hg 3.00-3.03
3 Hg 0.5000 0.5000 0.8063  4 Mo 2.95-3.09, 4 Zn 2.97, 4 Hg 3.00-3.03
4 Mo 0.0000 0.5000 0.2902  2 Zn 2.80, 8 Hg 2.92-3.09, 2 Mo 3.03

Summary:
SG = No. 25
ΔE_f = 0.446 eV per atom

---

Record 4
A geometry-optimized NaSn structure. Source: Alexandria, functional PBE.

Unit cell a=6.2559 b=6.2559 c=6.6269 alpha=90.00 beta=90.00 gamma=90.00
With the nearest neighbours (Å) after each atom.
Positions (direct):
1 Na 0.1732 0.1732 0.0000  1 Na 3.06, 6 Sn 3.21-3.40
2 Na 0.3268 0.6732 0.5000  1 Na 3.06, 6 Sn 3.21-3.40
3 Na 0.6732 0.3268 0.5000  1 Na 3.06, 6 Sn 3.21-3.40
4 Na 0.8268 0.8268 0.0000  1 Na 3.06, 6 Sn 3.21-3.40
5 Sn 0.1568 0.1568 0.5000  1 Sn 2.77
6 Sn 0.3432 0.6568 0.0000  1 Sn 2.77
7 Sn 0.6568 0.3432 0.0000  1 Sn 2.77
8 Sn 0.8432 0.8432 0.5000  1 Sn 2.77

Summary:
SG = No. 136
ΔE_f = 0.082 eV per atom

---

Record 5
A geometry-optimized LaCo2As structure. Source: Alexandria, functional PBE.

Unit cell a=3.8766 b=4.3498 c=4.8018 alpha=90.00 beta=90.00 gamma=90.00
With the nearest neighbours (Å) after each atom.
Positions (direct):
1 La 0.0000 0.0000 0.0000  8 Co 3.12, 4 As 3.24
2 Co 0.5000 0.5000 0.2319  1 Co 2.23, 2 As 2.33
3 Co 0.5000 0.5000 0.7681  1 Co 2.23, 2 As 2.33
4 As 0.0000 0.5000 0.5000  4 Co 2.33

Summary:
SG = No. 47
ΔE_f = -0.311 eV per atom

---

Record 6
A geometry-optimized CeSmTc structure. Source: Alexandria, functional PBE.

Unit cell a=6.6425 b=6.6000 c=7.3748 alpha=90.00 beta=101.20 gamma=90.00
With the nearest neighbours (Å) after each atom.
Positions (direct):
1 Ce 0.1790 0.1734 0.4881  1 Tc 2.35
2 Ce 0.1790 0.3266 0.9881  1 Tc 2.35
3 Ce 0.8210 0.6734 0.0119  1 Tc 2.35
4 Ce 0.8210 0.8266 0.5119  1 Tc 2.35
5 Sm 0.3479 0.6640 0.6513  3 Tc 3.06-3.15
6 Sm 0.3479 0.8360 0.1513  3 Tc 3.06-3.15
7 Sm 0.6521 0.1640 0.8487  3 Tc 3.06-3.15
8 Sm 0.6521 0.3360 0.3487  3 Tc 3.06-3.15
9 Tc 0.0359 0.5601 0.2836  1 Ce 2.35
10 Tc 0.0359 0.9399 0.7836  1 Ce 2.35
11 Tc 0.9641 0.0601 0.2164  1 Ce 2.35
12 Tc 0.9641 0.4399 0.7164  1 Ce 2.35

Summary:
SG = No. 14
ΔE_f = -0.020 eV per atom

---

Record 7
A geometry-optimized K2DyYO4 structure. Source: Alexandria, functional PBE.

Unit cell a=6.0407 b=3.4874 c=6.5785 alpha=90.00 beta=107.80 gamma=90.00
With the nearest neighbours (Å) after each atom.
Positions (direct):
1 K 0.0000 0.0000 0.0000  6 O 2.81
2 K 0.5000 0.5000 0.0000  6 O 2.82
3 Dy 0.0000 0.5000 0.5000  6 O 2.32
4 Y 0.5000 0.0000 0.5000  6 O 2.33
5 O 0.2278 0.0000 0.6856  2 Dy 2.32, 1 Y 2.33
6 O 0.2709 0.5000 0.3142  1 Dy 2.32, 2 Y 2.33
7 O 0.7291 0.5000 0.6858  1 Dy 2.32, 2 Y 2.33
8 O 0.7722 0.0000 0.3144  2 Dy 2.32, 1 Y 2.33

Summary:
SG = No. 10

---

Record 8
A geometry-optimized Cs2KPbF5 structure. Source: Alexandria, functional PBE.

Unit cell a=4.8141 b=4.8141 c=10.0987 alpha=90.00 beta=90.00 gamma=90.00
With the nearest neighbours (Å) after each atom.
Positions (direct):
1 Cs 0.0000 0.0000 0.2232  1 F 2.80
2 Cs 0.0000 0.0000 0.7768  1 F 2.80
3 K 0.5000 0.5000 0.5000  2 F 2.56
4 Pb 0.5000 0.5000 0.0000  6 F 2.41-2.49
5 F 0.0000 0.0000 0.5000  2 Cs 2.80
6 F 0.0000 0.5000 0.0000  2 Pb 2.41
7 F 0.5000 0.0000 0.0000  2 Pb 2.41
8 F 0.5000 0.5000 0.2466  1 Pb 2.49, 1 K 2.56
9 F 0.5000 0.5000 0.7534  1 Pb 2.49, 1 K 2.56

Summary:
SG = No. 123

---

Record 9
A geometry-optimized CrRuSe2 structure. Source: Alexandria, functional PBE.

Unit cell a=4.7671 b=4.7671 c=6.4503 alpha=99.35 beta=99.35 gamma=37.06
With the nearest neighbours (Å) after each atom.
Positions (direct):
1 Cr 0.0000 0.0000 0.0000  4 Se 2.37-2.52, 3 Ru 2.48-2.65
2 Ru 0.2803 0.2803 0.9309  3 Cr 2.48-2.65, 3 Se 2.52
3 Se 0.4879 0.4879 0.7157  2 Cr 2.37, 1 Ru 2.52
4 Se 0.6960 0.6960 0.2013  2 Cr 2.52, 2 Ru 2.52

Summary:
SG = No. 8

---

| no. | raw total energy (eV/cell) | ρ (g/cm3) | total magnetic moment (μB/f.u.) |
| --- | --- | --- | --- |
| 1 | -34.99 | 8.20 | 0.00 |
| 2 | -33.08 | 5.99 | 0.00 |
| 3 | -10.92 | 12.55 | 0.00 |
| 4 | -20.64 | 3.63 | 0.00 |
| 5 | -25.03 | 6.80 | 1.55 |
| 6 | -84.32 | 8.14 | 0.00 |
| 7 | -55.15 | 4.95 | 0.00 |
| 8 | -38.88 | 4.31 | 0.00 |
| 9 | -25.66 | 5.93 | 0.00 |